The following is a DFT calculation (PBE-GGA) of a relaxed structure of SmMg2Ag.

Calculated values
E in eV/cell: -11.17
Calculated formation energy in eV/atom: -0.102
Calculated density in g/cm3: 5.21

```
SmMg2Ag
1.0
4.4410 0.0000 0.0000
0.0000 4.4410 0.0000
0.0000 0.0000 4.9557
Sm Mg Ag
1 2 1
Direct
0.0000 0.0000 0.0000 Sm
0.0000 0.5000 0.5000 Mg
0.5000 0.0000 0.5000 Mg
0.5000 0.5000 0.0000 Ag
```


The following is a DFT calculation (PBE-GGA) of a relaxed structure of Sm4MgAg2.

Calculated values
E in eV/cell: -26.64
Calculated formation energy in eV/atom: -0.066
Calculated density in g/cm3: 7.02

```
Sm4MgAg2
1.0
2.6297 1.5183 8.3094
-2.6297 1.5183 8.3094
0.0000 -3.0366 8.3094
Sm Mg Ag
4 1 2
Direct
0.1137 0.1137 0.1137 Sm
0.3668 0.3668 0.3668 Sm
0.6332 0.6332 0.6332 Sm
0.8863 0.8863 0.8863 Sm
0.5000 0.5000 0.5000 Mg
0.2407 0.2407 0.2407 Ag
0.7593 0.7593 0.7593 Ag
```


The following is a DFT calculation (PBE-GGA) of a relaxed structure of SmMg4Ag4.

Calculated values
E in eV/cell: -46.65
Calculated formation energy in eV/atom: -0.092
Calculated density in g/cm3: 5.66

```
SmMg4Ag4
1.0
6.4931 0.0000 0.0000
0.0000 6.4931 0.0000
0.0000 0.0000 9.4498
Sm Mg Ag
2 8 8
Direct
0.2500 0.7500 0.2500 Sm
0.7500 0.2500 0.7500 Sm
0.0222 0.2500 0.1577 Mg
0.2500 0.0222 0.6577 Mg
0.2500 0.4778 0.6577 Mg
0.4778 0.2500 0.1577 Mg
0.5222 0.7500 0.8423 Mg
0.7500 0.5222 0.3423 Mg
0.7500 0.9778 0.3423 Mg
0.9778 0.7500 0.8423 Mg
0.0301 0.2500 0.4581 Ag
0.2500 0.0301 0.9581 Ag
0.2500 0.4699 0.9581 Ag
0.4699 0.2500 0.4581 Ag
0.5301 0.7500 0.5419 Ag
0.7500 0.5301 0.0419 Ag
0.7500 0.9699 0.0419 Ag
0.9699 0.7500 0.5419 Ag
```


The following is a DFT calculation (PBE-GGA) of a relaxed structure of SmMg2Ag6.

Calculated values
E in eV/cell: -26.05
Calculated formation energy in eV/atom: -0.115
Calculated density in g/cm3: 7.65

```
SmMg2Ag6
1.0
-1.5806 4.0822 7.1210
1.5806 -4.0822 7.1210
1.5806 4.0822 -7.1210
Sm Mg Ag
1 2 6
Direct
0.0000 0.0000 0.0000 Sm
0.3524 0.8524 0.5000 Mg
0.6476 0.1476 0.5000 Mg
0.0009 0.3238 0.6770 Ag
0.3329 0.5000 0.8329 Ag
0.3532 0.6762 0.6770 Ag
0.6468 0.3238 0.3230 Ag
0.6671 0.5000 0.1671 Ag
0.9991 0.6762 0.3230 Ag
```


The following is a DFT calculation (PBE-GGA) of a relaxed structure of Sm5MgAg6.

Calculated values
E in eV/cell: -45.40
Calculated formation energy in eV/atom: -0.259
Calculated density in g/cm3: 8.04

```
Sm5MgAg6
1.0
-2.5732 3.6906 7.7414
2.5732 -3.6906 7.7414
2.5732 3.6906 -7.7414
Sm Mg Ag
5 1 6
Direct
0.0000 0.0000 0.0000 Sm
0.1673 0.6673 0.5000 Sm
0.3334 0.3334 0.0000 Sm
0.6666 0.6666 0.0000 Sm
0.8327 0.3327 0.5000 Sm
0.5000 0.0000 0.5000 Mg
0.0984 0.8393 0.2591 Ag
0.2585 0.5000 0.7585 Ag
0.4199 0.1607 0.2591 Ag
0.5801 0.8393 0.7409 Ag
0.7415 0.5000 0.2415 Ag
0.9016 0.1607 0.7409 Ag
```


The following is a DFT calculation (PBE-GGA) of a relaxed structure of SmMg12Ag6.

Calculated values
E in eV/cell: -42.64
Calculated formation energy in eV/atom: -0.088
Calculated density in g/cm3: 4.29

```
SmMg12Ag6
1.0
6.2416 3.6036 3.1235
-6.2416 3.6036 3.1235
0.0000 -7.2071 3.1235
Sm Mg Ag
1 12 6
Direct
0.0000 0.0000 0.0000 Sm
0.1168 0.5000 0.8832 Mg
0.1168 0.8832 0.5000 Mg
0.1534 0.4088 0.4088 Mg
0.4088 0.1534 0.4088 Mg
0.4088 0.4088 0.1534 Mg
0.5000 0.1168 0.8832 Mg
0.5000 0.8832 0.1168 Mg
0.5912 0.5912 0.8466 Mg
0.5912 0.8466 0.5912 Mg
0.8466 0.5912 0.5912 Mg
0.8832 0.1168 0.5000 Mg
0.8832 0.5000 0.1168 Mg
0.2700 0.2700 0.7072 Ag
0.2700 0.7072 0.2700 Ag
0.2928 0.7300 0.7300 Ag
0.7072 0.2700 0.2700 Ag
0.7300 0.2928 0.7300 Ag
0.7300 0.7300 0.2928 Ag
```